NiRh2Au: relaxed, PBE.

```
NiRh2Au
1.0
2.730 0.000 0.000
0.000 4.261 0.000
-1.306 0.000 5.042
Ni Rh Au
1 2 1
Direct
0.000 0.000 0.000
0.378 0.500 0.229
0.622 0.500 0.771
0.000 0.000 0.500
```

Computed properties:
The total magnetization is 1.23 μB per cell. The energy above the most stable polymorph in this dataset is 0.128 eV per atom. The space group is P2/m (10).